(1)
VASP calculation (PBE) on a geometry-optimized Ti2Te4Rh structure.

Geometry as extended XYZ:
```
7
Lattice="-0.1706 2.8142 2.6702 -1.5309 -4.5321 4.6785 7.0307 0.1918 -2.5763" Properties=species:S:1:pos:R:3 pbc="T T T"
Ti 2.1825 -1.3005 4.3335
Ti 3.1468 -0.2257 0.4389
Te 4.9676 1.5930 1.4621
Te 0.3616 -3.1192 3.3104
Te 1.2345 0.4956 2.3801
Te 4.0947 -2.0217 2.3924
Rh 0.0000 0.0000 0.0000
```

Values from the calculation:
As for the energy relative to the elements, uncorrected: -4.32 eV/f.u. The value obtained for the calculated volume is 163.9 Å³ per cell. The space group is C2/m, No. 12. The value obtained for the density of states at the Fermi level is 4.77 states/eV/cell. For the magnetization, the calculation gives 0.00 μB/f.u.


(2)
VASP calculation (PBE) on a geometry-optimized SiIr3Au structure.

Geometry as extended XYZ:
```
5
Lattice="4.8536 0.0000 0.0000 0.0000 4.8536 0.0000 0.0000 0.0000 4.8536" Properties=species:S:1:pos:R:3 pbc="T T T"
Si 2.4268 2.4268 2.4268
Ir 0.0000 2.4268 0.0000
Ir 0.0000 0.0000 2.4268
Ir 2.4268 0.0000 0.0000
Au 0.0000 0.0000 0.0000
```

Values from the calculation:
As for the energy relative to the elements, uncorrected: 12.15 eV/f.u. The value obtained for the calculated volume is 114.3 Å³ per cell. The space group is Pm-3m, No. 221. For the energy relative to the lowest polymorph listed for this composition, the calculation gives 1646.8 meV/atom. The value obtained for the density of states at the Fermi level is 9.59 states/eV/cell. For the magnetization, the calculation gives 0.84 μB/f.u.